1.
Density functional theory data (PBE) for a geometry-optimized BTeN2Cl structure.

The final energy is -0.2960 Ry/atom. The total magnetization comes out at 0.00 μB/f.u. As for the formation energy from raw total energies: 1.637 eV/atom. The calculation puts the excess energy over the best structure of this formula in the dataset at 59 meV per atom. For the volume, the calculation gives 13.346 A^3/atom.

It has space group P4/mmm (No. 123), with a = 3.5700 Å, b = 3.5700 Å, c = 5.2360 Å, α = 90.00°, β = 90.00° and γ = 90.00°. The inequivalent atoms are B at (0.0000, 0.0000, 0.0000), Te at (0.0000, 0.0000, 0.5000), N at (0.0000, 0.5000, 0.0000) and Cl at (0.5000, 0.5000, 0.5000).

=====

2.
Density functional theory data (PBE) for a geometry-optimized Na3BCl6 structure.

The final energy is -0.2435 Ry/atom. The total magnetization comes out at 0.17 μB/f.u. As for the formation energy from raw total energies: -1.141 eV/atom. The calculation puts the excess energy over the best structure of this formula in the dataset at 273 meV per atom. For the volume, the calculation gives 30.080 A^3/atom.

It has space group P2_1/c (No. 14), with a = 7.9754 Å, b = 7.7726 Å, c = 12.2731 Å, α = 90.00°, β = 127.75° and γ = 90.00°. The inequivalent atoms are Na at (0.0000, 0.0000, 0.0000), Na at (0.4227, 0.0637, 0.8346), B at (0.5000, 0.0000, 0.5000), Cl at (0.2224, 0.6205, 0.4065), Cl at (0.2875, 0.0926, 0.4670) and Cl at (0.3723, 0.1134, 0.2387).

=====

3.
Density functional theory data (PBE) for a geometry-optimized NaBCl2 structure.

The final energy is -0.2098 Ry/atom. The total magnetization comes out at 0.00 μB/f.u. As for the formation energy from raw total energies: 0.069 eV/atom. The calculation puts the excess energy over the best structure of this formula in the dataset at 134 meV per atom. For the volume, the calculation gives 19.512 A^3/atom.

It has space group Fm-3m (No. 225), with a = 6.7838 Å, b = 6.7838 Å, c = 6.7838 Å, α = 90.00°, β = 90.00° and γ = 90.00°. The inequivalent atoms are Na at (0.0000, 0.0000, 0.0000), B at (0.0000, 0.0000, 0.5000) and Cl at (0.2500, 0.2500, 0.2500).

=====

4.
Density functional theory data (PBE) for a geometry-optimized NaBCl6 structure.

The final energy is -0.2211 Ry/atom. The total magnetization comes out at 0.00 μB/f.u. As for the formation energy from raw total energies: -0.624 eV/atom. For the volume, the calculation gives 31.540 A^3/atom.

It has space group P-1 (No. 2), with a = 4.0479 Å, b = 8.0053 Å, c = 8.2373 Å, α = 108.33°, β = 94.15° and γ = 91.71°. The inequivalent atoms are Na at (0.0000, 0.0000, 0.0000), B at (0.0000, 0.5000, 0.0000), Cl at (0.0317, 0.5609, 0.2117), Cl at (0.4920, 0.0564, 0.6330) and Cl at (0.4972, 0.7705, 0.0078).